## P
Be2TlB | PBE | relaxed

Summary:
Crystal system: tetragonal
Size of the total moment in μB/atom: 0.00
Density of states at the Fermi level in states/eV/f.u.: 0.00

Cell and atoms, written as CIF:
```
data_Be2TlB
_chemical_formula_sum 'Be8 Tl4 B4'
_cell_length_a 4.9073
_cell_length_b 4.9073
_cell_length_c 10.8055
_cell_angle_alpha 90.00
_cell_angle_beta 90.00
_cell_angle_gamma 90.00
_space_group_name_H-M_alt 'I 41/a m d'
_space_group_IT_number 141
loop_
_space_group_symop_operation_xyz
'x,y,z'
'-x,-y,-z'
'-y+1/4,x+3/4,z+1/4'
'y+1/4,-x+3/4,-z+1/4'
'-x+1/2,-y,z+1/2'
'x+1/2,y,-z+1/2'
'y+1/4,-x+1/4,z+3/4'
'-y+1/4,x+1/4,-z+3/4'
'x,-y,-z'
'-x,y,z'
'-y+1/4,-x+1/4,-z+3/4'
'y+1/4,x+1/4,z+3/4'
'-x+1/2,y,-z+1/2'
'x+1/2,-y,z+1/2'
'y+1/4,x+3/4,-z+1/4'
'-y+1/4,-x+3/4,z+1/4'
'x+1/2,y+1/2,z+1/2'
'-x+1/2,-y+1/2,-z+1/2'
'-y+3/4,x+1/4,z+3/4'
'y+3/4,-x+1/4,-z+3/4'
'-x,-y+1/2,z'
'x,y+1/2,-z'
'y+3/4,-x+3/4,z+1/4'
'-y+3/4,x+3/4,-z+1/4'
'x+1/2,-y+1/2,-z+1/2'
'-x+1/2,y+1/2,z+1/2'
'-y+3/4,-x+3/4,-z+1/4'
'y+3/4,x+3/4,z+1/4'
'-x,y+1/2,-z'
'x,-y+1/2,z'
'y+3/4,x+1/4,-z+3/4'
'-y+3/4,-x+1/4,z+3/4'
loop_
_atom_site_label
_atom_site_type_symbol
_atom_site_fract_x
_atom_site_fract_y
_atom_site_fract_z
_atom_site_occupancy
Be1 Be 0.0000 0.0000 0.0000 1
Tl1 Tl 0.0000 0.2500 0.3750 1
B1 B 0.0000 0.2500 0.8750 1
```

## Q
Be2TlB | PBE | relaxed

Summary:
Crystal system: cubic
Size of the total moment in μB/atom: 0.00
Density of states at the Fermi level in states/eV/f.u.: 0.32

Cell and atoms, written as CIF:
```
data_Be2TlB
_chemical_formula_sum 'Be8 Tl4 B4'
_cell_length_a 5.9240
_cell_length_b 5.9240
_cell_length_c 5.9240
_cell_angle_alpha 90.00
_cell_angle_beta 90.00
_cell_angle_gamma 90.00
_space_group_name_H-M_alt 'F m -3 m'
_space_group_IT_number 225
_space_group_name_Hall '-F 4 2 3'
loop_
_atom_site_label
_atom_site_type_symbol
_atom_site_fract_x
_atom_site_fract_y
_atom_site_fract_z
_atom_site_occupancy
Be1 Be 0.2500 0.2500 0.2500 1
Tl1 Tl 0.0000 0.0000 0.0000 1
B1 B 0.0000 0.0000 0.5000 1
```

Which one is most stable, and which one is least stable? P is the most stable of them, while Q is the least stable.

## P
Y2BeTlB | PBE | relaxed

Summary:
Crystal system: tetragonal
Size of the total moment in μB/atom: 0.00
Density of states at the Fermi level in states/eV/f.u.: 4.20

Cell and atoms, written as CIF:
```
data_Y2BeTlB
_chemical_formula_sum 'Y2 Be1 Tl1 B1'
_cell_length_a 5.0239
_cell_length_b 5.0239
_cell_length_c 4.4447
_cell_angle_alpha 90.00
_cell_angle_beta 90.00
_cell_angle_gamma 90.00
_space_group_name_H-M_alt 'P 4/m m m'
_space_group_IT_number 123
_space_group_name_Hall '-P 4 2'
loop_
_atom_site_label
_atom_site_type_symbol
_atom_site_fract_x
_atom_site_fract_y
_atom_site_fract_z
_atom_site_occupancy
Y1 Y 0.0000 0.5000 0.0000 1
Be1 Be 0.0000 0.0000 0.5000 1
Tl1 Tl 0.5000 0.5000 0.5000 1
B1 B 0.5000 0.5000 0.0000 1
```

## Q
Y2BeTlB | PBE | relaxed

Summary:
Crystal system: tetragonal
Size of the total moment in μB/atom: 0.00
Density of states at the Fermi level in states/eV/f.u.: 3.43

Cell and atoms, written as CIF:
```
data_Y2BeTlB
_chemical_formula_sum 'Y2 Be1 Tl1 B1'
_cell_length_a 5.2342
_cell_length_b 5.2342
_cell_length_c 3.7584
_cell_angle_alpha 90.00
_cell_angle_beta 90.00
_cell_angle_gamma 90.00
_space_group_name_H-M_alt 'P 4/m m m'
_space_group_IT_number 123
_space_group_name_Hall '-P 4 2'
loop_
_atom_site_label
_atom_site_type_symbol
_atom_site_fract_x
_atom_site_fract_y
_atom_site_fract_z
_atom_site_occupancy
Y1 Y 0.0000 0.5000 0.0000 1
Be1 Be 0.0000 0.0000 0.5000 1
Tl1 Tl 0.5000 0.5000 0.5000 1
B1 B 0.0000 0.0000 0.0000 1
```

Which one is most stable, and which one is least stable? Q is the most stable of them, while P is the least stable.

## P
BeV2B2 | PBE | relaxed

Summary:
Crystal system: tetragonal
Size of the total moment in μB/atom: 0.00
Density of states at the Fermi level in states/eV/f.u.: 2.22

Cell and atoms, written as CIF:
```
data_BeV2B2
_chemical_formula_sum 'Be2 V4 B4'
_cell_length_a 5.3612
_cell_length_b 5.3612
_cell_length_c 3.1174
_cell_angle_alpha 90.00
_cell_angle_beta 90.00
_cell_angle_gamma 90.00
_space_group_name_H-M_alt 'P 4/m b m'
_space_group_IT_number 127
_space_group_name_Hall '-P 4 2ab'
loop_
_atom_site_label
_atom_site_type_symbol
_atom_site_fract_x
_atom_site_fract_y
_atom_site_fract_z
_atom_site_occupancy
Be1 Be 0.0000 0.0000 0.0000 1
V1 V 0.1804 0.3196 0.5000 1
B1 B 0.1134 0.6134 0.0000 1
```

## Q
BeV2B2 | PBE | relaxed

Summary:
Crystal system: orthorhombic
Size of the total moment in μB/atom: 0.00
Density of states at the Fermi level in states/eV/f.u.: 3.38

Cell and atoms, written as CIF:
```
data_BeV2B2
_chemical_formula_sum 'Be2 V4 B4'
_cell_length_a 2.9368
_cell_length_b 10.0534
_cell_length_c 3.0526
_cell_angle_alpha 90.00
_cell_angle_beta 90.00
_cell_angle_gamma 90.00
_space_group_name_H-M_alt 'C m m m'
_space_group_IT_number 65
_space_group_name_Hall '-C 2 2'
loop_
_atom_site_label
_atom_site_type_symbol
_atom_site_fract_x
_atom_site_fract_y
_atom_site_fract_z
_atom_site_occupancy
Be1 Be 0.0000 0.0000 0.0000 1
V1 V 0.0000 0.3677 0.5000 1
B1 B 0.0000 0.2019 0.0000 1
```

Which one is most stable, and which one is least stable? Q is the most stable of them, while P is the least stable.

## P
BeBW2 | PBE | relaxed

Summary:
Crystal system: trigonal
Size of the total moment in μB/atom: 0.00
Density of states at the Fermi level in states/eV/f.u.: 1.58

Cell and atoms, written as CIF:
```
data_BeBW2
_chemical_formula_sum 'Be3 B3 W6'
_cell_length_a 3.1758
_cell_length_b 3.1758
_cell_length_c 16.2005
_cell_angle_alpha 90.00
_cell_angle_beta 90.00
_cell_angle_gamma 120.00
_space_group_name_H-M_alt 'R -3 m'
_space_group_IT_number 166
_space_group_name_Hall '-R 3 2"'
loop_
_atom_site_label
_atom_site_type_symbol
_atom_site_fract_x
_atom_site_fract_y
_atom_site_fract_z
_atom_site_occupancy
Be1 Be 0.0000 0.0000 0.0000 1
B1 B 0.0000 0.0000 0.5000 1
W1 W 0.0000 0.0000 0.2428 1
```

## Q
BeBW2 | PBE | relaxed

Summary:
Crystal system: monoclinic
Size of the total moment in μB/atom: 0.00
Density of states at the Fermi level in states/eV/f.u.: 1.80

Cell and atoms, written as CIF:
```
data_BeBW2
_chemical_formula_sum 'Be2 B2 W4'
_cell_length_a 4.5992
_cell_length_b 3.1719
_cell_length_c 6.4333
_cell_angle_alpha 90.00
_cell_angle_beta 110.39
_cell_angle_gamma 90.00
_space_group_name_H-M_alt 'P 1 21/m 1'
_space_group_IT_number 11
loop_
_space_group_symop_operation_xyz
'x,y,z'
'-x,-y,-z'
'-x,y+1/2,-z'
'x,-y+1/2,z'
loop_
_atom_site_label
_atom_site_type_symbol
_atom_site_fract_x
_atom_site_fract_y
_atom_site_fract_z
_atom_site_occupancy
Be1 Be 0.1309 0.2500 0.2817 1
B1 B 0.1298 0.2500 0.7821 1
W1 W 0.2921 0.7500 0.5777 1
W2 W 0.2962 0.7500 0.0692 1
```

## R
BeBW2 | PBE | relaxed

Summary:
Crystal system: tetragonal
Size of the total moment in μB/atom: 0.00
Density of states at the Fermi level in states/eV/f.u.: 2.01

Cell and atoms, written as CIF:
```
data_BeBW2
_chemical_formula_sum 'Be4 B4 W8'
_cell_length_a 6.0848
_cell_length_b 6.0848
_cell_length_c 5.2891
_cell_angle_alpha 90.00
_cell_angle_beta 90.00
_cell_angle_gamma 90.00
_space_group_name_H-M_alt 'I -4 2 d'
_space_group_IT_number 122
_space_group_name_Hall 'I -4 2bw'
loop_
_atom_site_label
_atom_site_type_symbol
_atom_site_fract_x
_atom_site_fract_y
_atom_site_fract_z
_atom_site_occupancy
Be1 Be 0.0000 0.0000 0.0000 1
B1 B 0.0000 0.0000 0.5000 1
W1 W 0.2295 0.2500 0.6250 1
```

## S
BeBW2 | PBE | relaxed

Summary:
Crystal system: cubic
Size of the total moment in μB/atom: 0.00
Density of states at the Fermi level in states/eV/f.u.: 2.87

Cell and atoms, written as CIF:
```
data_BeBW2
_chemical_formula_sum 'Be4 B4 W8'
_cell_length_a 5.6880
_cell_length_b 5.6880
_cell_length_c 5.6880
_cell_angle_alpha 90.00
_cell_angle_beta 90.00
_cell_angle_gamma 90.00
_space_group_name_H-M_alt 'F m -3 m'
_space_group_IT_number 225
_space_group_name_Hall '-F 4 2 3'
loop_
_atom_site_label
_atom_site_type_symbol
_atom_site_fract_x
_atom_site_fract_y
_atom_site_fract_z
_atom_site_occupancy
Be1 Be 0.0000 0.0000 0.0000 1
B1 B 0.0000 0.0000 0.5000 1
W1 W 0.2500 0.2500 0.2500 1
```

Which one is most stable, and which one is least stable? Q is the most stable of them, while S is the least stable.

## P
Be3BW | PBE | relaxed

Summary:
Crystal system: cubic
Size of the total moment in μB/atom: 0.00
Density of states at the Fermi level in states/eV/f.u.: 5.85

Cell and atoms, written as CIF:
```
data_Be3BW
_chemical_formula_sum 'Be3 B1 W1'
_cell_length_a 4.3421
_cell_length_b 4.3421
_cell_length_c 4.3421
_cell_angle_alpha 90.00
_cell_angle_beta 90.00
_cell_angle_gamma 90.00
_space_group_name_H-M_alt 'P m -3 m'
_space_group_IT_number 221
_space_group_name_Hall '-P 4 2 3'
loop_
_atom_site_label
_atom_site_type_symbol
_atom_site_fract_x
_atom_site_fract_y
_atom_site_fract_z
_atom_site_occupancy
Be1 Be 0.0000 0.0000 0.5000 1
B1 B 0.5000 0.5000 0.5000 1
W1 W 0.0000 0.0000 0.0000 1
```

## Q
Be3BW | PBE | relaxed

Summary:
Crystal system: monoclinic
Size of the total moment in μB/atom: 0.00
Density of states at the Fermi level in states/eV/f.u.: 1.19

Cell and atoms, written as CIF:
```
data_Be3BW
_chemical_formula_sum 'Be12 B4 W4'
_cell_length_a 17.9948
_cell_length_b 3.1128
_cell_length_c 3.2074
_cell_angle_alpha 90.00
_cell_angle_beta 100.20
_cell_angle_gamma 90.00
_space_group_name_H-M_alt 'C 1 2/m 1'
_space_group_IT_number 12
loop_
_space_group_symop_operation_xyz
'x,y,z'
'-x,-y,-z'
'-x,y,-z'
'x,-y,z'
'x+1/2,y+1/2,z'
'-x+1/2,-y+1/2,-z'
'-x+1/2,y+1/2,-z'
'x+1/2,-y+1/2,z'
loop_
_atom_site_label
_atom_site_type_symbol
_atom_site_fract_x
_atom_site_fract_y
_atom_site_fract_z
_atom_site_occupancy
Be1 Be 0.0291 0.0000 0.2788 1
Be2 Be 0.2005 0.0000 0.9500 1
Be3 Be 0.2011 0.5000 0.4511 1
B1 B 0.1340 0.0000 0.3839 1
W1 W 0.0858 0.5000 0.8357 1
```

## R
Be3BW | PBE | relaxed

Summary:
Crystal system: cubic
Size of the total moment in μB/atom: 0.00
Density of states at the Fermi level in states/eV/f.u.: 2.38

Cell and atoms, written as CIF:
```
data_Be3BW
_chemical_formula_sum 'Be3 B1 W1'
_cell_length_a 3.6341
_cell_length_b 3.6341
_cell_length_c 3.6341
_cell_angle_alpha 90.00
_cell_angle_beta 90.00
_cell_angle_gamma 90.00
_space_group_name_H-M_alt 'P m -3 m'
_space_group_IT_number 221
_space_group_name_Hall '-P 4 2 3'
loop_
_atom_site_label
_atom_site_type_symbol
_atom_site_fract_x
_atom_site_fract_y
_atom_site_fract_z
_atom_site_occupancy
Be1 Be 0.0000 0.0000 0.5000 1
B1 B 0.0000 0.0000 0.0000 1
W1 W 0.5000 0.5000 0.5000 1
```

Which one is most stable, and which one is least stable? Q is the most stable of them, while P is the least stable.

## P
BeBW4 | PBE | relaxed

Summary:
Crystal system: tetragonal
Size of the total moment in μB/atom: 0.00
Density of states at the Fermi level in states/eV/f.u.: 2.81

Cell and atoms, written as CIF:
```
data_BeBW4
_chemical_formula_sum 'Be2 B2 W8'
_cell_length_a 5.6696
_cell_length_b 5.6696
_cell_length_c 4.8068
_cell_angle_alpha 90.00
_cell_angle_beta 90.00
_cell_angle_gamma 90.00
_space_group_name_H-M_alt 'P 4/m c c'
_space_group_IT_number 124
_space_group_name_Hall '-P 4 2c'
loop_
_atom_site_label
_atom_site_type_symbol
_atom_site_fract_x
_atom_site_fract_y
_atom_site_fract_z
_atom_site_occupancy
Be1 Be 0.0000 0.0000 0.2500 1
B1 B 0.5000 0.5000 0.2500 1
W1 W 0.1756 0.3367 0.0000 1
```

## Q
BeBW4 | PBE | relaxed

Summary:
Crystal system: tetragonal
Size of the total moment in μB/atom: 0.00
Density of states at the Fermi level in states/eV/f.u.: 2.02

Cell and atoms, written as CIF:
```
data_BeBW4
_chemical_formula_sum 'Be4 B4 W16'
_cell_length_a 5.5951
_cell_length_b 5.5951
_cell_length_c 10.1508
_cell_angle_alpha 90.00
_cell_angle_beta 90.00
_cell_angle_gamma 90.00
_space_group_name_H-M_alt 'I 4/m c m'
_space_group_IT_number 140
_space_group_name_Hall '-I 4 2c'
loop_
_atom_site_label
_atom_site_type_symbol
_atom_site_fract_x
_atom_site_fract_y
_atom_site_fract_z
_atom_site_occupancy
Be1 Be 0.0000 0.0000 0.0000 1
B1 B 0.0000 0.0000 0.2500 1
W1 W 0.1701 0.3299 0.1335 1
```

Which one is most stable, and which one is least stable? P is the most stable of them, while Q is the least stable.

## P
YBe3B | PBE | relaxed

Summary:
Crystal system: cubic
Size of the total moment in μB/atom: 0.44
Density of states at the Fermi level in states/eV/f.u.: 4.67

Cell and atoms, written as CIF:
```
data_YBe3B
_chemical_formula_sum 'Y1 Be3 B1'
_cell_length_a 5.1624
_cell_length_b 5.1624
_cell_length_c 5.1624
_cell_angle_alpha 90.00
_cell_angle_beta 90.00
_cell_angle_gamma 90.00
_space_group_name_H-M_alt 'P m -3 m'
_space_group_IT_number 221
_space_group_name_Hall '-P 4 2 3'
loop_
_atom_site_label
_atom_site_type_symbol
_atom_site_fract_x
_atom_site_fract_y
_atom_site_fract_z
_atom_site_occupancy
Y1 Y 0.0000 0.0000 0.0000 1
Be1 Be 0.0000 0.0000 0.5000 1
B1 B 0.5000 0.5000 0.5000 1
```

## Q
YBe3B | PBE | relaxed

Summary:
Crystal system: cubic
Size of the total moment in μB/atom: 0.00
Density of states at the Fermi level in states/eV/f.u.: 1.70

Cell and atoms, written as CIF:
```
data_YBe3B
_chemical_formula_sum 'Y1 Be3 B1'
_cell_length_a 3.8654
_cell_length_b 3.8654
_cell_length_c 3.8654
_cell_angle_alpha 90.00
_cell_angle_beta 90.00
_cell_angle_gamma 90.00
_space_group_name_H-M_alt 'P m -3 m'
_space_group_IT_number 221
_space_group_name_Hall '-P 4 2 3'
loop_
_atom_site_label
_atom_site_type_symbol
_atom_site_fract_x
_atom_site_fract_y
_atom_site_fract_z
_atom_site_occupancy
Y1 Y 0.0000 0.0000 0.0000 1
Be1 Be 0.0000 0.5000 0.5000 1
B1 B 0.5000 0.5000 0.5000 1
```

Which one is most stable, and which one is least stable? Q is the most stable of them, while P is the least stable.